Here is a relaxed structure of K2TiOsS from the Alexandria database. Energies are from PBE.

## Properties
- Total magnetic moment: 0.0 μB per formula unit
- Formation energy (no corrections): 1063 meV/atom
- Electronic total energy: -4.03 eV/atom

Cell lengths 6.3840, 6.3840, 4.4039 Å; angles 90.00, 90.00, 90.00 degrees
Last column: nearest neighbours and their distance in Å.
Atoms (fractional coordinates):
K 0.0000 0.5000 0.0000  2 Ti 3.19
K 0.5000 0.0000 0.0000  2 Ti 3.19
Ti 0.0000 0.0000 0.0000  2 Os 2.20
Os 0.0000 0.0000 0.5000  2 Ti 2.20
S 0.5000 0.5000 0.5000  8 K 3.88



Here is a relaxed structure of KTlOsS2 from the Alexandria database. Energies are from PBE.

## Properties
- Total magnetic moment: 6.0 μB per formula unit
- Formation energy (no corrections): 1868 meV/atom
- Electronic total energy: -2.72 eV/atom

Cell lengths 5.5162, 5.5162, 5.8797 Å; angles 90.00, 90.00, 90.00 degrees
Last column: nearest neighbours and their distance in Å.
Atoms (fractional coordinates):
K 0.0000 0.0000 0.0000  4 S 2.76, 2 Tl 2.94
Tl 0.0000 0.0000 0.5000  2 K 2.94
Os 0.5000 0.5000 0.5000  4 Tl 3.90, 8 S 4.03
S 0.0000 0.5000 0.0000  2 K 2.76
S 0.5000 0.0000 0.0000  2 K 2.76



| no. | DOS at the Fermi energy (states/eV/cell) |
| --- | --- |
| 1 | 3.810 |
| 2 | 3.840 |